An optimized crystal structure of Nd4TlSnO, computed with GGA-PBE.

Properties
Its crystal system is orthorhombic. The space group is Cmcm.

Lattice parameters (Å, degrees): 6.800 6.793 9.210 90.00 111.66 90.00
Sites, in units of the cell vectors:
Tl 0.611 0.750 0.221
Tl 0.389 0.250 0.779
Nd 0.500 0.000 0.500
Nd 0.575 0.250 0.151
Nd 0.079 0.750 0.158
Nd 0.000 0.500 0.500
Nd 0.500 0.500 0.500
Nd 0.000 0.000 0.500
Nd 0.425 0.750 0.849
Nd 0.921 0.250 0.842
O 0.246 0.750 0.492
O 0.754 0.250 0.508
Sn 0.111 0.250 0.221
Sn 0.889 0.750 0.779


An optimized crystal structure of Nd4Tm2Sn3O2, computed with GGA-PBE.

Properties
Its crystal system is tetragonal. The space group is I4/mmm.

Lattice parameters (Å, degrees): 4.801 4.801 13.074 100.58 100.58 90.00
Sites, in units of the cell vectors:
Sn 0.000 0.000 0.000
Sn 0.819 0.819 0.638
Sn 0.181 0.181 0.362
Tm 0.305 0.305 0.611
Tm 0.695 0.695 0.389
Nd 0.915 0.415 0.831
Nd 0.085 0.585 0.169
Nd 0.585 0.085 0.169
Nd 0.415 0.915 0.831
O 0.392 0.392 0.784
O 0.608 0.608 0.216


An optimized crystal structure of Nd4Y2Sn3O2, computed with GGA-PBE.

Properties
Its crystal system is tetragonal. The space group is I4/mmm.

Lattice parameters (Å, degrees): 4.806 4.806 13.177 100.51 100.51 90.00
Sites, in units of the cell vectors:
Nd 0.416 0.916 0.832
Nd 0.916 0.416 0.832
Nd 0.084 0.584 0.168
Nd 0.584 0.084 0.168
O 0.394 0.394 0.788
O 0.606 0.606 0.212
Sn 0.180 0.180 0.361
Sn 0.000 0.000 0.000
Sn 0.820 0.820 0.639
Y 0.305 0.305 0.610
Y 0.695 0.695 0.390


An optimized crystal structure of Sr2NdO, computed with GGA-PBE.

Properties
Its crystal system is trigonal. The space group is R-3m.

Lattice parameters (Å, degrees): 3.684 3.684 10.549 79.94 79.94 60.00
Sites, in units of the cell vectors:
Sr 0.882 0.882 0.354
Sr 0.118 0.118 0.646
Nd 0.000 0.000 0.000
O 0.500 0.500 0.500


An optimized crystal structure of SrNd2O, computed with GGA-PBE.

Properties
Its crystal system is trigonal. The space group is R-3m.

Lattice parameters (Å, degrees): 3.748 3.748 10.007 79.21 79.21 60.00
Sites, in units of the cell vectors:
Sr 0.000 0.000 0.000
O 0.500 0.500 0.500
Nd 0.122 0.122 0.635
Nd 0.878 0.878 0.365


An optimized crystal structure of SrNd3O, computed with GGA-PBE.

Properties
Its crystal system is cubic. The space group is Pm-3m.

Lattice parameters (Å, degrees): 5.215 5.215 5.215 90.00 90.00 90.00
Sites, in units of the cell vectors:
Sr 0.500 0.500 0.500
Nd 0.000 0.000 0.500
Nd 0.500 0.000 0.000
Nd 0.000 0.500 0.000
O 0.000 0.000 0.000


An optimized crystal structure of SrNd2O4, computed with GGA-PBE.

Properties
Its crystal system is orthorhombic. As for the energy above the lowest structure with this stoichiometry: 6.0 meV/atom. The space group is Pnma.

Lattice parameters (Å, degrees): 3.590 10.332 12.380 90.00 90.00 90.00
Sites, in units of the cell vectors:
Nd 0.250 0.411 0.610
Nd 0.250 0.930 0.384
Nd 0.750 0.589 0.390
Nd 0.250 0.430 0.116
Nd 0.250 0.911 0.890
Nd 0.750 0.089 0.110
Nd 0.750 0.070 0.616
Nd 0.750 0.570 0.884
Sr 0.250 0.750 0.646
Sr 0.750 0.250 0.354
Sr 0.750 0.750 0.146
Sr 0.250 0.250 0.854
O 0.750 0.781 0.815
O 0.750 0.364 0.984
O 0.250 0.636 0.016
O 0.750 0.570 0.582
O 0.750 0.864 0.516
O 0.250 0.498 0.786
O 0.250 0.219 0.185
O 0.250 0.719 0.315
O 0.750 0.281 0.685
O 0.250 0.430 0.418
O 0.250 0.998 0.714
O 0.250 0.136 0.484
O 0.250 0.930 0.082
O 0.750 0.002 0.286
O 0.750 0.070 0.918
O 0.750 0.502 0.214


An optimized crystal structure of Sr3Nd4O9, computed with GGA-PBE.

Properties
Its crystal system is monoclinic. The space group is Cc.

Lattice parameters (Å, degrees): 6.881 6.881 13.235 68.56 68.56 63.82
Sites, in units of the cell vectors:
Nd 0.491 0.338 0.669
Nd 0.912 0.657 0.796
Nd 0.454 0.037 0.948
Nd 0.037 0.454 0.448
Nd 0.338 0.491 0.169
Nd 0.852 0.588 0.090
Nd 0.657 0.912 0.296
Nd 0.588 0.852 0.590
O 0.552 0.923 0.768
O 0.183 0.869 0.072
O 0.360 0.231 0.557
O 0.730 0.262 0.192
O 0.148 0.288 0.842
O 0.581 0.644 0.482
O 0.869 0.183 0.572
O 0.841 0.932 0.408
O 0.304 0.620 0.321
O 0.644 0.581 0.982
O 0.262 0.730 0.692
O 0.288 0.148 0.342
O 0.593 0.934 0.121
O 0.923 0.552 0.268
O 0.932 0.841 0.908
O 0.934 0.593 0.621
O 0.620 0.304 0.821
O 0.231 0.360 0.057
Sr 0.027 0.154 0.724
Sr 0.154 0.027 0.224
Sr 0.352 0.639 0.885
Sr 0.151 0.853 0.502
Sr 0.639 0.352 0.385
Sr 0.853 0.151 0.002


An optimized crystal structure of Sr3NdO4, computed with GGA-PBE.

Properties
Its crystal system is cubic. The space group is Pm-3m.

Lattice parameters (Å, degrees): 5.145 5.145 5.145 90.00 90.00 90.00
Sites, in units of the cell vectors:
Nd 0.000 0.000 0.000
Sr 0.500 0.500 0.000
Sr 0.500 0.000 0.500
Sr 0.000 0.500 0.500
O 0.000 0.500 0.000
O 0.500 0.000 0.000
O 0.000 0.000 0.500
O 0.500 0.500 0.500


An optimized crystal structure of SrNd2O4, computed with GGA-PBE.

Properties
Its crystal system is cubic. As for the energy above the lowest structure with this stoichiometry: 0.0 meV/atom. The space group is Fd-3m.

Lattice parameters (Å, degrees): 7.209 7.209 7.209 60.00 60.00 60.00
Sites, in units of the cell vectors:
Nd 0.125 0.125 0.625
Nd 0.125 0.125 0.125
Nd 0.625 0.125 0.125
Nd 0.125 0.625 0.125
O 0.890 0.890 0.890
O 0.331 0.890 0.890
O 0.360 0.919 0.360
O 0.919 0.360 0.360
O 0.890 0.890 0.331
O 0.360 0.360 0.919
O 0.890 0.331 0.890
O 0.360 0.360 0.360
Sr 0.500 0.500 0.500
Sr 0.750 0.750 0.750


An optimized crystal structure of SrNd2TcO8, computed with GGA-PBE.

Properties
Its crystal system is triclinic. The space group is P-1.

Lattice parameters (Å, degrees): 5.252 4.442 7.157 73.08 90.01 90.05
Sites, in units of the cell vectors:
Tc 0.000 0.000 0.000
Nd 0.500 0.620 0.210
Nd 0.500 0.380 0.790
O 0.741 0.191 0.111
O 0.500 0.230 0.504
O 0.256 0.193 0.111
O 0.000 0.341 0.757
O 0.744 0.807 0.889
O 0.000 0.659 0.243
O 0.259 0.809 0.889
O 0.500 0.770 0.496
Sr 0.000 0.000 0.500


An optimized crystal structure of SrNdTiO4, computed with GGA-PBE.

Properties
Its crystal system is tetragonal. The space group is I4mm.

Lattice parameters (Å, degrees): 3.918 3.918 6.868 106.57 106.57 90.00
Sites, in units of the cell vectors:
O 0.165 0.165 0.331
O 0.826 0.826 0.653
O 0.006 0.506 0.011
O 0.506 0.006 0.011
Sr 0.355 0.355 0.711
Nd 0.643 0.643 0.285
Ti 0.000 0.000 0.999


DFT total energy
In order: -5.48, -5.98, -6.37, -4.37, -5.17, -5.12, -7.58, -7.36, -6.39, -7.59, -7.40, -7.90
Unit: eV per atom
DOS at the Fermi energy
In order: 12.581, 5.211, 5.061, 3.811, 3.454, 4.685, 0.000, 0.000, 1.719, 0.000, 1.985, 2.656
Unit: states/eV per cell
Energy relative to the elements, uncorrected
In order: -1.138, -1.440, -1.467, -1.100, -1.127, -0.933, -3.144, -3.067, -2.680, -3.150, -2.294, -3.022
Unit: eV per atom